#1
This record from Alexandria via LeMat-Bulk describes a relaxed structure of CsNa2Ag. The functional is PBE-GGA.

* space group: No. 160
* theoretical density: 2.7 g/cm³

abc: 5.4497 5.4497 7.5548
angles: 68.86 68.86 60.00
Fractional positions:
Cs 0.4944 0.4944 0.5168
Na 0.0173 0.0173 0.9481
Na 0.3036 0.3036 0.0893
Ag 0.6847 0.6847 0.9458

#2
This record from Alexandria via LeMat-Bulk describes a relaxed structure of CsNa2Ag. The functional is PBE-GGA.

* space group: No. 141
* theoretical density: 2.3 g/cm³

abc: 6.2703 6.2703 11.2941
angles: 73.88 73.88 90.00
Fractional positions:
Cs 0.0000 0.0000 0.0000
Cs 0.7500 0.2500 0.5000
Na 0.3755 0.1250 0.2500
Na 0.3745 0.6250 0.2500
Na 0.3750 0.6245 0.7500
Na 0.8750 0.6255 0.7500
Ag 0.5000 0.5000 0.0000
Ag 0.2500 0.7500 0.5000

Unit: meV per atom. Relative energies: #1 0; #2 107.

#1
This record from Alexandria via LeMat-Bulk describes a relaxed structure of Cs2NaAg. The functional is PBE-GGA.

* space group: No. 44
* theoretical density: 2.8 g/cm³

abc: 5.1690 7.3897 7.3897
angles: 66.60 69.54 69.54
Fractional positions:
Cs 0.0558 0.8861 0.0024
Cs 0.4442 0.4976 0.6139
Na 0.2500 0.1672 0.3328
Ag 0.7500 0.9490 0.5510

#2
This record from Alexandria via LeMat-Bulk describes a relaxed structure of Cs2NaAg. The functional is PBE-GGA.

* space group: No. 123
* theoretical density: 3.0 g/cm³

abc: 4.7026 4.7026 10.0913
angles: 90.00 90.00 90.00
Fractional positions:
Cs 0.0000 0.0000 0.7884
Cs 0.0000 0.0000 0.2116
Na 0.5000 0.5000 0.5000
Ag 0.5000 0.5000 0.0000

Unit: meV per atom. Relative energies: #1 6; #2 0.

#1
This record from Alexandria via LeMat-Bulk describes a relaxed structure of Cs2NaAg. The functional is PBE-GGA.

* space group: No. 8
* theoretical density: 2.7 g/cm³

abc: 5.4097 5.4041 10.1951
angles: 74.57 74.61 59.97
Fractional positions:
Cs 0.8924 0.6551 0.5602
Cs 0.7130 0.4763 0.0976
Na 0.4693 0.2323 0.8290
Ag 0.1356 0.8983 0.8306

#2
This record from Alexandria via LeMat-Bulk describes a relaxed structure of Cs2NaAg. The functional is PBE-GGA.

* space group: No. 160
* theoretical density: 2.5 g/cm³

abc: 5.2435 5.2435 11.3422
angles: 76.64 76.64 60.00
Fractional positions:
Cs 0.0679 0.0679 0.7964
Cs 0.2653 0.2653 0.2040
Na 0.5008 0.5008 0.4976
Ag 0.6660 0.6660 0.0020

Unit: meV per atom. Relative energies: #1 0; #2 72.